1.
Density functional theory data (PBE-GGA) for crystalline Ag2SeCl at its relaxed geometry.

Cell: 7.4386 6.9578 7.2033 Å, 90.00 96.20 90.00°
Space group P2_1/c (No. 14)
One atom of each set of equivalent atoms:
Ag1 0.1475 0.2078 0.0756
Ag2 0.3464 0.5928 0.0998
Se1 0.4155 0.1204 0.8989
Cl1 0.1178 0.6343 0.8003

Crystal system: monoclinic



2.
Density functional theory data (PBE-GGA) for crystalline AgSeCl2 at its relaxed geometry.

Cell: 3.6929 3.7745 7.6190 Å, 90.00 90.00 90.00°
Space group Pmmm (No. 47)
One atom of each set of equivalent atoms:
Ag1 0.0000 0.0000 0.0000
Se1 0.5000 0.0000 0.5000
Cl1 0.0000 0.5000 0.5000
Cl2 0.5000 0.5000 0.0000

Crystal system: orthorhombic



3.
Density functional theory data (PBE-GGA) for crystalline Ag2SeCl2 at its relaxed geometry.

Cell: 7.8516 7.8516 3.4485 Å, 90.00 90.00 90.00°
Space group P4/mbm (No. 127)
One atom of each set of equivalent atoms:
Ag1 0.1797 0.3203 0.0000
Se1 0.0000 0.0000 0.0000
Cl1 0.1384 0.6384 0.5000

Crystal system: tetragonal



4.
Density functional theory data (PBE-GGA) for crystalline Ag6SeCl5 at its relaxed geometry.

Cell: 7.2162 11.6196 7.1797 Å, 90.00 116.17 90.00°
Space group C2/m (No. 12)
One atom of each set of equivalent atoms:
Ag1 0.2173 0.0000 0.2742
Ag2 0.2492 0.1631 0.7446
Se1 0.0000 0.0000 0.5000
Cl1 0.0000 0.1776 0.0000
Cl2 0.0000 0.3330 0.5000
Cl3 0.0000 0.5000 0.0000

Crystal system: monoclinic



5.
Density functional theory data (PBE-GGA) for crystalline Ag2SeCl at its relaxed geometry.

Cell: 6.8729 6.8729 6.8729 Å, 90.00 90.00 90.00°
Space group F-43m (No. 216)
One atom of each set of equivalent atoms:
Ag1 0.0000 0.0000 0.0000
Ag2 0.2500 0.2500 0.2500
Se1 0.0000 0.0000 0.5000
Cl1 0.2500 0.2500 0.7500

Crystal system: cubic



6.
Density functional theory data (PBE-GGA) for crystalline AgSeCl2 at its relaxed geometry.

Cell: 3.5567 3.5567 24.5007 Å, 90.00 90.00 120.00°
Space group R-3m (No. 166, hexagonal axes)
One atom of each set of equivalent atoms:
Ag1 0.0000 0.0000 0.0000
Se1 0.0000 0.0000 0.5000
Cl1 0.0000 0.0000 0.2640

Crystal system: trigonal



7.
Density functional theory data (PBE-GGA) for crystalline AgSeCl at its relaxed geometry.

Cell: 3.0866 3.0866 14.6865 Å, 90.00 90.00 90.00°
Space group I4mm (No. 107)
One atom of each set of equivalent atoms:
Ag1 0.0000 0.0000 0.0000
Se1 0.0000 0.0000 0.6347
Cl1 0.0000 0.0000 0.3814

Crystal system: tetragonal



8.
Density functional theory data (PBE-GGA) for crystalline Ag2SeCl at its relaxed geometry.

Cell: 3.7065 7.0944 7.2623 Å, 88.50 89.80 89.73°
Space group P1 (No. 1)
One atom of each set of equivalent atoms:
Ag1 0.0000 0.0000 0.0000
Ag2 0.0016 0.5976 0.3573
Ag3 0.5004 0.0188 0.4833
Ag4 0.5039 0.5715 0.8202
Se1 0.0011 0.8063 0.6547
Se2 0.5017 0.7642 0.1369
Cl1 0.0071 0.3137 0.8275
Cl2 0.9995 0.2345 0.3359

Crystal system: triclinic



9.
Density functional theory data (PBE-GGA) for crystalline Ag2SeCl at its relaxed geometry.

Cell: 3.6092 7.4625 7.5995 Å, 90.00 90.00 90.00°
Space group Immm (No. 71)
One atom of each set of equivalent atoms:
Ag1 0.0000 0.0000 0.2480
Se1 0.0000 0.5000 0.5000
Cl1 0.0000 0.5000 0.0000

Crystal system: orthorhombic



10.
Density functional theory data (PBE-GGA) for crystalline AgSeCl2 at its relaxed geometry.

Cell: 4.7217 4.1704 4.7435 Å, 90.00 91.20 90.00°
Space group P2/m (No. 10)
One atom of each set of equivalent atoms:
Ag1 0.0000 0.0000 0.0000
Se1 0.5000 0.0000 0.5000
Cl1 0.2592 0.5000 0.7408

Crystal system: monoclinic



11.
Density functional theory data (PBE-GGA) for crystalline Ag12Se6Cl at its relaxed geometry.

Cell: 11.9239 11.9239 10.6022 Å, 90.00 90.00 120.00°
Space group R-3 (No. 148, hexagonal axes)
One atom of each set of equivalent atoms:
Ag1 0.0173 0.7940 0.1465
Ag2 0.0955 0.8930 0.3984
Se1 0.0580 0.5387 0.3311
Cl1 0.0000 0.0000 0.0000

Crystal system: trigonal



12.
Density functional theory data (PBE-GGA) for crystalline AgSeCl2 at its relaxed geometry.

Cell: 3.3455 6.5058 8.4827 Å, 90.00 90.00 90.00°
Space group Cmmm (No. 65)
One atom of each set of equivalent atoms:
Ag1 0.0000 0.0000 0.0000
Se1 0.0000 0.0000 0.5000
Cl1 0.0000 0.5000 0.2239

Crystal system: orthorhombic



13.
Density functional theory data (PBE-GGA) for crystalline Ag6SeCl3 at its relaxed geometry.

Cell: 8.2389 12.8797 8.4154 Å, 90.00 90.00 90.00°
Space group Cmc2_1 (No. 36)
One atom of each set of equivalent atoms:
Ag1 0.0000 0.0218 0.0000
Ag2 0.0000 0.3247 0.5715
Ag3 0.1778 0.2338 0.9793
Ag4 0.1833 0.4412 0.3302
Se1 0.0000 0.1224 0.7255
Cl1 0.0000 0.4074 0.0690
Cl2 0.2281 0.1398 0.2539

Crystal system: orthorhombic



14.
Density functional theory data (PBE-GGA) for crystalline Ag7Se3Cl2 at its relaxed geometry.

Cell: 31.6793 6.3578 5.6767 Å, 90.00 90.00 90.00°
Space group Cmc2_1 (No. 36)
One atom of each set of equivalent atoms:
Ag1 0.0000 0.0513 0.0000
Ag2 0.0553 0.3067 0.3460
Ag3 0.1733 0.0878 0.1601
Ag4 0.2470 0.3865 0.2305
Se1 0.0000 0.3293 0.6719
Se2 0.1882 0.3146 0.5500
Cl1 0.1034 0.2435 0.0196

Crystal system: orthorhombic



15.
Density functional theory data (PBE-GGA) for crystalline Ag2SeCl2 at its relaxed geometry.

Cell: 4.2094 7.7115 8.4098 Å, 94.66 104.36 105.83°
Space group P-1 (No. 2)
One atom of each set of equivalent atoms:
Ag1 0.0484 0.4892 0.1875
Ag2 0.3662 0.0090 0.3125
Se1 0.3891 0.2498 0.7505
Cl1 0.2062 0.2642 0.4416
Cl2 0.4968 0.7646 0.9403

Crystal system: triclinic



16.
Density functional theory data (PBE-GGA) for crystalline Ag4SeCl2 at its relaxed geometry.

Cell: 6.6280 4.3734 6.8616 Å, 90.00 117.61 90.00°
Space group Pm (No. 6)
One atom of each set of equivalent atoms:
Ag1 0.0000 0.0000 0.0000
Ag2 0.1154 0.0000 0.6085
Ag3 0.4924 0.5000 0.5594
Ag4 0.6218 0.5000 0.0507
Se1 0.5577 0.0000 0.8052
Cl1 0.2366 0.5000 0.1316
Cl2 0.8784 0.5000 0.4784

Crystal system: monoclinic



17.
Density functional theory data (PBE-GGA) for crystalline Ag7Se3Cl at its relaxed geometry.

Cell: 9.0896 8.6478 8.3736 Å, 90.00 122.51 90.00°
Space group Cm (No. 8)
One atom of each set of equivalent atoms:
Ag1 0.0000 0.0000 0.0000
Ag2 0.0624 0.5000 0.8164
Ag3 0.2505 0.2596 0.7229
Ag4 0.2617 0.0000 0.4297
Ag5 0.3467 0.1715 0.1908
Se1 0.0381 0.2934 0.0447
Se2 0.0821 0.5000 0.5098
Cl1 0.0578 0.0000 0.5395

Crystal system: monoclinic



18.
Density functional theory data (PBE-GGA) for crystalline Ag12Se6Cl at its relaxed geometry.

Cell: 11.3697 11.3697 11.7811 Å, 90.00 90.00 120.00°
Space group R-3m (No. 166, hexagonal axes)
One atom of each set of equivalent atoms:
Ag1 0.0000 0.3688 0.0000
Ag2 0.0886 0.1771 0.8624
Se1 0.0323 0.5162 0.8064
Cl1 0.0000 0.0000 0.5000

Crystal system: trigonal



19.
Density functional theory data (PBE-GGA) for crystalline AgSeCl2 at its relaxed geometry.

Cell: 6.7839 7.4853 7.5238 Å, 90.00 90.00 90.00°
Space group Fmmm (No. 69)
One atom of each set of equivalent atoms:
Ag1 0.0000 0.0000 0.0000
Se1 0.0000 0.0000 0.5000
Cl1 0.0000 0.2500 0.2500

Crystal system: orthorhombic



20.
Density functional theory data (PBE-GGA) for crystalline AgSeCl2 at its relaxed geometry.

Cell: 3.2546 7.0180 8.4185 Å, 90.00 90.00 90.00°
Space group Immm (No. 71)
One atom of each set of equivalent atoms:
Ag1 0.0000 0.0000 0.0000
Se1 0.0000 0.0000 0.5000
Cl1 0.0000 0.5000 0.2626

Crystal system: orthorhombic



Total DFT energy (no corrections), record by record: -3.00 -2.48 -2.54 -2.80 -2.46 -2.32 -2.61 -2.93 -2.83 -2.44 -3.10 -2.36 -2.76 -2.99 -2.79 -2.88 -3.04 -3.03 -2.52 -2.39 eV/atom